(one)
# Y2NbRu (PBE-GGA, optimized geometry)
data_Y2NbRu
_space_group_name_H-M_alt 'F m -3 m'
_space_group_IT_number 225
_space_group_name_Hall '-F 4 2 3'
_cell_length_a 7.077
_cell_length_b 7.077
_cell_length_c 7.077
_cell_angle_alpha 90.00
_cell_angle_beta 90.00
_cell_angle_gamma 90.00
loop_
_atom_site_label
_atom_site_type_symbol
_atom_site_fract_x
_atom_site_fract_y
_atom_site_fract_z
_atom_site_occupancy
Y1 Y 0.250 0.250 0.250 1
Nb1 Nb 0.000 0.000 0.000 1
Ru1 Ru 0.000 0.000 0.500 1
# Crystal system = cubic

---

(two)
# Y2NbRu (PBE-GGA, optimized geometry)
data_Y2NbRu
_space_group_name_H-M_alt 'I -4 2 d'
_space_group_IT_number 122
_space_group_name_Hall 'I -4 2bw'
_cell_length_a 7.965
_cell_length_b 7.965
_cell_length_c 5.898
_cell_angle_alpha 90.00
_cell_angle_beta 90.00
_cell_angle_gamma 90.00
loop_
_atom_site_label
_atom_site_type_symbol
_atom_site_fract_x
_atom_site_fract_y
_atom_site_fract_z
_atom_site_occupancy
Y1 Y 0.204 0.750 0.125 1
Nb1 Nb 0.000 0.000 0.500 1
Ru1 Ru 0.000 0.000 0.000 1
# Crystal system = tetragonal

---

Stability ranking, top and bottom: (one) is the most stable and (two) is the least stable.

---

(one)
# Y2NbRu2 (PBE-GGA, optimized geometry)
data_Y2NbRu2
_space_group_name_H-M_alt 'I 4/m m m'
_space_group_IT_number 139
_space_group_name_Hall '-I 4 2'
_cell_length_a 4.279
_cell_length_b 4.279
_cell_length_c 12.026
_cell_angle_alpha 90.00
_cell_angle_beta 90.00
_cell_angle_gamma 90.00
loop_
_atom_site_label
_atom_site_type_symbol
_atom_site_fract_x
_atom_site_fract_y
_atom_site_fract_z
_atom_site_occupancy
Y1 Y 0.000 0.500 0.250 1
Nb1 Nb 0.000 0.000 0.000 1
Ru1 Ru 0.000 0.000 0.403 1
# Crystal system = tetragonal

---

(two)
# Y2NbRu2 (PBE-GGA, optimized geometry)
data_Y2NbRu2
_space_group_name_H-M_alt 'I m m m'
_space_group_IT_number 71
_space_group_name_Hall '-I 2 2'
_cell_length_a 3.995
_cell_length_b 5.824
_cell_length_c 9.181
_cell_angle_alpha 90.00
_cell_angle_beta 90.00
_cell_angle_gamma 90.00
loop_
_atom_site_label
_atom_site_type_symbol
_atom_site_fract_x
_atom_site_fract_y
_atom_site_fract_z
_atom_site_occupancy
Y1 Y 0.000 0.000 0.205 1
Nb1 Nb 0.000 0.500 0.000 1
Ru1 Ru 0.000 0.274 0.500 1
# Crystal system = orthorhombic

---

(three)
# Y2NbRu2 (PBE-GGA, optimized geometry)
data_Y2NbRu2
_space_group_name_H-M_alt 'P 4/m b m'
_space_group_IT_number 127
_space_group_name_Hall '-P 4 2ab'
_cell_length_a 8.025
_cell_length_b 8.025
_cell_length_c 3.140
_cell_angle_alpha 90.00
_cell_angle_beta 90.00
_cell_angle_gamma 90.00
loop_
_atom_site_label
_atom_site_type_symbol
_atom_site_fract_x
_atom_site_fract_y
_atom_site_fract_z
_atom_site_occupancy
Y1 Y 0.137 0.363 0.000 1
Nb1 Nb 0.000 0.000 0.000 1
Ru1 Ru 0.170 0.670 0.500 1
# Crystal system = tetragonal

---

(four)
# Y2NbRu2 (PBE-GGA, optimized geometry)
data_Y2NbRu2
_space_group_name_H-M_alt 'I 4/m m m'
_space_group_IT_number 139
_space_group_name_Hall '-I 4 2'
_cell_length_a 3.462
_cell_length_b 3.462
_cell_length_c 18.828
_cell_angle_alpha 90.00
_cell_angle_beta 90.00
_cell_angle_gamma 90.00
loop_
_atom_site_label
_atom_site_type_symbol
_atom_site_fract_x
_atom_site_fract_y
_atom_site_fract_z
_atom_site_occupancy
Y1 Y 0.000 0.000 0.114 1
Nb1 Nb 0.000 0.000 0.500 1
Ru1 Ru 0.000 0.500 0.250 1
# Crystal system = tetragonal

---

Stability ranking, top and bottom: (two) is the most stable and (one) is the least stable.

---

(one)
# YNbRu (PBE-GGA, optimized geometry)
data_YNbRu
_space_group_name_H-M_alt 'C m c m'
_space_group_IT_number 63
_space_group_name_Hall '-C 2c 2'
_cell_length_a 4.356
_cell_length_b 11.339
_cell_length_c 4.931
_cell_angle_alpha 90.00
_cell_angle_beta 90.00
_cell_angle_gamma 90.00
loop_
_atom_site_label
_atom_site_type_symbol
_atom_site_fract_x
_atom_site_fract_y
_atom_site_fract_z
_atom_site_occupancy
Y1 Y 0.000 0.070 0.250 1
Nb1 Nb 0.000 0.247 0.750 1
Ru1 Ru 0.000 0.369 0.250 1
# Crystal system = orthorhombic

---

(two)
# YNbRu (PBE-GGA, optimized geometry)
data_YNbRu
_space_group_name_H-M_alt 'C 1 m 1'
_space_group_IT_number 8
_cell_length_a 11.535
_cell_length_b 3.351
_cell_length_c 6.653
_cell_angle_alpha 90.00
_cell_angle_beta 90.90
_cell_angle_gamma 90.00
loop_
_space_group_symop_operation_xyz
'x,y,z'
'x,-y,z'
'x+1/2,y+1/2,z'
'x+1/2,-y+1/2,z'
loop_
_atom_site_label
_atom_site_type_symbol
_atom_site_fract_x
_atom_site_fract_y
_atom_site_fract_z
_atom_site_occupancy
Y1 Y 0.000 0.000 0.000 1
Y2 Y 0.238 0.500 0.245 1
Nb1 Nb 0.069 0.000 0.549 1
Nb2 Nb 0.341 0.000 0.663 1
Ru1 Ru 0.186 0.500 0.777 1
Ru2 Ru 0.443 0.000 0.336 1
# Crystal system = monoclinic

---

Stability ranking, top and bottom: (two) is the most stable and (one) is the least stable.

---

(one)
# YNbRu (PBE-GGA, optimized geometry)
data_YNbRu
_space_group_name_H-M_alt 'C 1 m 1'
_space_group_IT_number 8
_cell_length_a 10.510
_cell_length_b 4.464
_cell_length_c 6.076
_cell_angle_alpha 90.00
_cell_angle_beta 122.04
_cell_angle_gamma 90.00
loop_
_space_group_symop_operation_xyz
'x,y,z'
'x,-y,z'
'x+1/2,y+1/2,z'
'x+1/2,-y+1/2,z'
loop_
_atom_site_label
_atom_site_type_symbol
_atom_site_fract_x
_atom_site_fract_y
_atom_site_fract_z
_atom_site_occupancy
Y1 Y 0.000 0.000 0.000 1
Y2 Y 0.153 0.500 0.818 1
Nb1 Nb 0.293 0.000 0.594 1
Nb2 Nb 0.452 0.500 0.438 1
Ru1 Ru 0.177 0.500 0.357 1
Ru2 Ru 0.330 0.000 0.189 1
# Crystal system = monoclinic

---

(two)
# YNbRu (PBE-GGA, optimized geometry)
data_YNbRu
_space_group_name_H-M_alt 'I 4 m m'
_space_group_IT_number 107
_space_group_name_Hall 'I 4 -2'
_cell_length_a 3.283
_cell_length_b 3.283
_cell_length_c 11.019
_cell_angle_alpha 90.00
_cell_angle_beta 90.00
_cell_angle_gamma 90.00
loop_
_atom_site_label
_atom_site_type_symbol
_atom_site_fract_x
_atom_site_fract_y
_atom_site_fract_z
_atom_site_occupancy
Y1 Y 0.000 0.000 0.000 1
Nb1 Nb 0.000 0.000 0.304 1
Ru1 Ru 0.000 0.000 0.680 1
# Crystal system = tetragonal

---

(three)
# YNbRu (PBE-GGA, optimized geometry)
data_YNbRu
_space_group_name_H-M_alt 'C m m m'
_space_group_IT_number 65
_space_group_name_Hall '-C 2 2'
_cell_length_a 4.685
_cell_length_b 14.983
_cell_length_c 3.350
_cell_angle_alpha 90.00
_cell_angle_beta 90.00
_cell_angle_gamma 90.00
loop_
_atom_site_label
_atom_site_type_symbol
_atom_site_fract_x
_atom_site_fract_y
_atom_site_fract_z
_atom_site_occupancy
Y1 Y 0.000 0.174 0.000 1
Nb1 Nb 0.000 0.000 0.500 1
Nb2 Nb 0.000 0.500 0.000 1
Ru1 Ru 0.000 0.356 0.500 1
# Crystal system = orthorhombic

---

Stability ranking, top and bottom: (three) is the most stable and (one) is the least stable.

---

(one)
# YNb2Ru2 (PBE-GGA, optimized geometry)
data_YNb2Ru2
_space_group_name_H-M_alt 'I 4/m m m'
_space_group_IT_number 139
_space_group_name_Hall '-I 4 2'
_cell_length_a 4.493
_cell_length_b 4.493
_cell_length_c 10.172
_cell_angle_alpha 90.00
_cell_angle_beta 90.00
_cell_angle_gamma 90.00
loop_
_atom_site_label
_atom_site_type_symbol
_atom_site_fract_x
_atom_site_fract_y
_atom_site_fract_z
_atom_site_occupancy
Y1 Y 0.000 0.000 0.000 1
Nb1 Nb 0.000 0.000 0.368 1
Ru1 Ru 0.000 0.500 0.250 1
# Crystal system = tetragonal

---

(two)
# YNb2Ru2 (PBE-GGA, optimized geometry)
data_YNb2Ru2
_space_group_name_H-M_alt 'I 4/m m m'
_space_group_IT_number 139
_space_group_name_Hall '-I 4 2'
_cell_length_a 4.386
_cell_length_b 4.386
_cell_length_c 10.584
_cell_angle_alpha 90.00
_cell_angle_beta 90.00
_cell_angle_gamma 90.00
loop_
_atom_site_label
_atom_site_type_symbol
_atom_site_fract_x
_atom_site_fract_y
_atom_site_fract_z
_atom_site_occupancy
Y1 Y 0.000 0.000 0.000 1
Nb1 Nb 0.000 0.500 0.250 1
Ru1 Ru 0.000 0.000 0.380 1
# Crystal system = tetragonal

---

(three)
# YNb2Ru2 (PBE-GGA, optimized geometry)
data_YNb2Ru2
_space_group_name_H-M_alt 'P 4/m b m'
_space_group_IT_number 127
_space_group_name_Hall '-P 4 2ab'
_cell_length_a 7.836
_cell_length_b 7.836
_cell_length_c 2.982
_cell_angle_alpha 90.00
_cell_angle_beta 90.00
_cell_angle_gamma 90.00
loop_
_atom_site_label
_atom_site_type_symbol
_atom_site_fract_x
_atom_site_fract_y
_atom_site_fract_z
_atom_site_occupancy
Y1 Y 0.000 0.000 0.000 1
Nb1 Nb 0.145 0.355 0.000 1
Ru1 Ru 0.149 0.649 0.500 1
# Crystal system = tetragonal

---

(four)
# YNb2Ru2 (PBE-GGA, optimized geometry)
data_YNb2Ru2
_space_group_name_H-M_alt 'C m m m'
_space_group_IT_number 65
_space_group_name_Hall '-C 2 2'
_cell_length_a 3.166
_cell_length_b 18.554
_cell_length_c 3.178
_cell_angle_alpha 90.00
_cell_angle_beta 90.00
_cell_angle_gamma 90.00
loop_
_atom_site_label
_atom_site_type_symbol
_atom_site_fract_x
_atom_site_fract_y
_atom_site_fract_z
_atom_site_occupancy
Y1 Y 0.000 0.000 0.000 1
Nb1 Nb 0.000 0.186 0.000 1
Ru1 Ru 0.000 0.393 0.500 1
# Crystal system = orthorhombic

---

Stability ranking, top and bottom: (two) is the most stable and (one) is the least stable.

---

(one)
# YNb3Ru (PBE-GGA, optimized geometry)
data_YNb3Ru
_space_group_name_H-M_alt 'P m -3 m'
_space_group_IT_number 221
_space_group_name_Hall '-P 4 2 3'
_cell_length_a 4.820
_cell_length_b 4.820
_cell_length_c 4.820
_cell_angle_alpha 90.00
_cell_angle_beta 90.00
_cell_angle_gamma 90.00
loop_
_atom_site_label
_atom_site_type_symbol
_atom_site_fract_x
_atom_site_fract_y
_atom_site_fract_z
_atom_site_occupancy
Y1 Y 0.000 0.000 0.000 1
Nb1 Nb 0.000 0.000 0.500 1
Ru1 Ru 0.500 0.500 0.500 1
# Crystal system = cubic

---

(two)
# YNb3Ru (PBE-GGA, optimized geometry)
data_YNb3Ru
_space_group_name_H-M_alt 'P m -3 m'
_space_group_IT_number 221
_space_group_name_Hall '-P 4 2 3'
_cell_length_a 4.886
_cell_length_b 4.886
_cell_length_c 4.886
_cell_angle_alpha 90.00
_cell_angle_beta 90.00
_cell_angle_gamma 90.00
loop_
_atom_site_label
_atom_site_type_symbol
_atom_site_fract_x
_atom_site_fract_y
_atom_site_fract_z
_atom_site_occupancy
Y1 Y 0.000 0.000 0.000 1
Nb1 Nb 0.000 0.500 0.500 1
Ru1 Ru 0.500 0.500 0.500 1
# Crystal system = cubic

---

Stability ranking, top and bottom: (two) is the most stable and (one) is the least stable.